# 1
A plane-wave DFT calculation with PBE was carried out for an optimized crystal structure of TbPr2SmSb4.

abc: 7.7872 4.5006 7.7910
angles: 90.00 109.48 90.00
With the nearest neighbours (Å) after each atom.
Space group P2/m (No. 10)
Inequivalent atoms, fractional coordinates:
Tb  0.0000  0.0000  0.0000 [1 per cell]  6 Sb 3.14
Pr  0.5000  0.0000  0.5000 [1 per cell]  6 Sb 3.22
Pr  0.5000  0.5000  0.0000 [1 per cell]  6 Sb 3.20
Sm  0.0000  0.5000  0.5000 [1 per cell]  6 Sb 3.16
Sb  0.2417  0.5000  0.2453 [2 per cell]  2 Tb 3.14, 1 Sm 3.16, 3 Pr 3.20-3.22
Sb  0.2431  0.0000  0.7497 [2 per cell]  1 Tb 3.14, 2 Sm 3.16, 3 Pr 3.20-3.22

Values from the calculation:
Final energy: -44.80 eV/cell

---

# 2
A plane-wave DFT calculation with PBE was carried out for an optimized crystal structure of TbPrSm2Sb4.

abc: 7.7517 4.4787 7.7537
angles: 90.00 109.47 90.00
With the nearest neighbours (Å) after each atom.
Space group P2/m (No. 10)
Inequivalent atoms, fractional coordinates:
Tb  0.0000  0.0000  0.0000 [1 per cell]  6 Sb 3.15
Pr  0.5000  0.5000  0.0000 [1 per cell]  6 Sb 3.19
Sm  0.0000  0.5000  0.5000 [1 per cell]  6 Sb 3.14
Sm  0.5000  0.0000  0.5000 [1 per cell]  6 Sb 3.18
Sb  0.2449  0.0000  0.7479 [2 per cell]  3 Sm 3.14-3.18, 1 Tb 3.15, 2 Pr 3.19
Sb  0.2453  0.5000  0.2488 [2 per cell]  3 Sm 3.14-3.18, 2 Tb 3.15, 1 Pr 3.19

Values from the calculation:
Final energy: -44.69 eV/cell

---

# 3
A plane-wave DFT calculation with PBE was carried out for an optimized crystal structure of TbPr2Sm3Sb6.

abc: 19.5623 4.4912 8.9756
angles: 90.00 103.26 90.00
With the nearest neighbours (Å) after each atom.
Space group C2/m (No. 12)
Inequivalent atoms, fractional coordinates:
Tb  0.0000  0.0000  0.0000 [2 per cell]  6 Sb 3.14-3.15
Pr  0.1658  0.5000  0.3323 [4 per cell]  6 Sb 3.19-3.21
Sm  0.0000  0.0000  0.5000 [2 per cell]  6 Sb 3.15-3.19
Sm  0.1677  0.5000  0.8338 [4 per cell]  6 Sb 3.15-3.18
Sb  0.0019  0.5000  0.7541 [4 per cell]  2 Tb 3.15, 3 Sm 3.16-3.19, 1 Pr 3.19
Sb  0.1651  0.0000  0.0785 [4 per cell]  1 Tb 3.14, 3 Sm 3.15-3.18, 2 Pr 3.20
Sb  0.1656  0.0000  0.5862 [4 per cell]  3 Sm 3.15, 3 Pr 3.20-3.21

Values from the calculation:
Final energy: -134.33 eV/cell